Record 1
The following is a PBE calculation of an optimized crystal structure of NaHgMoIr, from OQMD via LeMat-Bulk.

Cell lengths 4.563, 4.563, 4.563 Å; angles 60.00, 60.00, 60.00 degrees
Element x y z (fractional)
Na (0.000, 0.000, 0.000)
Hg (0.750, 0.750, 0.750)
Mo (0.250, 0.250, 0.250)
Ir (0.500, 0.500, 0.500)

## Properties
Magnetic moment   0.0017 μB per atom
Relative energy among the computed polymorphs   0.00 kcal/mol of atoms
Volume   16.79 Å³/atom
Final energy   -19.46 eV for the cell shown
Crystal system   cubic

***

Record 2
The following is a PBE calculation of an optimized crystal structure of MgAgTeO, from OQMD via LeMat-Bulk.

Cell lengths 3.965, 3.965, 10.012 Å; angles 90.00, 90.00, 90.00 degrees
Element x y z (fractional)
Mg (0.250, 0.250, 0.001)
Mg (0.750, 0.750, 0.999)
Ag (0.250, 0.250, 0.390)
Ag (0.750, 0.750, 0.610)
Te (0.250, 0.250, 0.678)
Te (0.750, 0.750, 0.322)
O (0.250, 0.750, 0.000)
O (0.750, 0.250, 0.000)

## Properties
Relative energy among the computed polymorphs   0.00 kcal/mol of atoms
Volume   19.68 Å³/atom
Final energy   -33.90 eV for the cell shown
Crystal system   tetragonal

***

Record 3
The following is a PBE calculation of an optimized crystal structure of Cu2Ag, from OQMD via LeMat-Bulk.

Cell lengths 4.686, 4.686, 11.105 Å; angles 112.46, 112.46, 34.00 degrees
Element x y z (fractional)
Cu (0.000, 0.000, 0.000)
Cu (0.230, 0.230, 0.889)
Cu (0.532, 0.532, 0.197)
Cu (0.663, 0.663, 0.670)
Cu (0.765, 0.765, 0.087)
Cu (0.899, 0.899, 0.555)
Ag (0.116, 0.116, 0.446)
Ag (0.316, 0.316, 0.310)
Ag (0.445, 0.445, 0.777)

## Properties
Formation energy from the elements   0.09 eV/atom
Relative energy among the computed polymorphs   0.92 kcal/mol of atoms
Volume   13.89 Å³/atom
Final energy   -30.00 eV for the cell shown
Crystal system   monoclinic

***

Record 4
The following is a PBE calculation of an optimized crystal structure of BaNbPO, from OQMD via LeMat-Bulk.

Cell lengths 3.899, 6.751, 7.023 Å; angles 90.00, 90.00, 90.00 degrees
Element x y z (fractional)
Ba (0.000, 0.220, 0.000)
Ba (0.000, 0.780, 0.500)
Nb (0.500, 0.264, 0.460)
Nb (0.500, 0.736, 0.960)
P (0.500, 0.478, 0.728)
P (0.500, 0.522, 0.228)
O (0.000, 0.177, 0.440)
O (0.000, 0.823, 0.940)

## Properties
Magnetic moment   0.0074 μB per atom
Relative energy among the computed polymorphs   0.65 kcal/mol of atoms
Volume   23.11 Å³/atom
Final energy   -55.24 eV for the cell shown
Crystal system   orthorhombic

***

Record 5
The following is a PBE calculation of an optimized crystal structure of DyEr6Lu, from OQMD via LeMat-Bulk.

Cell lengths 7.141, 7.141, 5.525 Å; angles 90.00, 90.00, 120.00 degrees
Element x y z (fractional)
Dy (0.000, 0.000, 0.000)
Er (0.000, 0.500, 0.000)
Er (0.333, 0.167, 0.500)
Er (0.500, 0.000, 0.000)
Er (0.500, 0.500, 0.000)
Er (0.833, 0.167, 0.500)
Er (0.833, 0.667, 0.500)
Lu (0.333, 0.667, 0.500)

## Properties
Formation energy from the elements   0.00 eV/atom
Magnetic moment   0.0128 μB per atom
Volume   30.50 Å³/atom
Final energy   -36.50 eV for the cell shown
Crystal system   hexagonal

***

Record 6
The following is a PBE calculation of an optimized crystal structure of Sm2AgAu3, from OQMD via LeMat-Bulk.

Cell lengths 3.816, 3.816, 9.255 Å; angles 90.00, 90.00, 90.00 degrees
Element x y z (fractional)
Sm (0.000, 0.000, 0.000)
Sm (0.500, 0.500, 0.489)
Ag (0.500, 0.500, 0.820)
Au (0.000, 0.000, 0.330)
Au (0.000, 0.000, 0.662)
Au (0.500, 0.500, 0.153)

## Properties
Formation energy from the elements   -0.70 eV/atom
Magnetic moment   0.0002 μB per atom
Volume   22.47 Å³/atom
Final energy   -26.26 eV for the cell shown
Crystal system   tetragonal

***

Record 7
The following is a PBE calculation of an optimized crystal structure of Te2Pd7, from OQMD via LeMat-Bulk.

Cell lengths 2.994, 2.994, 28.938 Å; angles 90.00, 90.00, 120.00 degrees
Element x y z (fractional)
Te (0.333, 0.667, 0.204)
Te (0.667, 0.333, 0.796)
Pd (0.000, 0.000, 0.278)
Pd (0.000, 0.000, 0.500)
Pd (0.000, 0.000, 0.722)
Pd (0.333, 0.667, 0.427)
Pd (0.333, 0.667, 0.647)
Pd (0.667, 0.333, 0.353)
Pd (0.667, 0.333, 0.573)

## Properties
Volume   24.96 Å³/atom
Final energy   -41.44 eV for the cell shown
Crystal system   trigonal

***

Record 8
The following is a PBE calculation of an optimized crystal structure of ZnPd9, from OQMD via LeMat-Bulk.

Cell lengths 2.812, 3.861, 40.984 Å; angles 90.00, 90.00, 90.00 degrees
Element x y z (fractional)
Zn (0.250, 0.250, 0.178)
Zn (0.750, 0.750, 0.822)
Pd (0.250, 0.250, 0.241)
Pd (0.250, 0.250, 0.310)
Pd (0.250, 0.250, 0.379)
Pd (0.250, 0.250, 0.448)
Pd (0.250, 0.250, 0.517)
Pd (0.250, 0.250, 0.586)
Pd (0.250, 0.250, 0.655)
Pd (0.250, 0.250, 0.725)
Pd (0.250, 0.250, 0.797)
Pd (0.750, 0.750, 0.203)
Pd (0.750, 0.750, 0.275)
Pd (0.750, 0.750, 0.345)
Pd (0.750, 0.750, 0.414)
Pd (0.750, 0.750, 0.483)
Pd (0.750, 0.750, 0.552)
Pd (0.750, 0.750, 0.621)
Pd (0.750, 0.750, 0.690)
Pd (0.750, 0.750, 0.759)

## Properties
Formation energy from the elements   -0.04 eV/atom
Relative energy among the computed polymorphs   0.00 kcal/mol of atoms
Volume   22.25 Å³/atom
Final energy   -96.45 eV for the cell shown
Crystal system   orthorhombic

***

Record 9
The following is a PBE calculation of an optimized crystal structure of RbGdFeS3, from OQMD via LeMat-Bulk.

Cell lengths 8.826, 4.008, 9.545 Å; angles 90.00, 108.11, 90.00 degrees
Element x y z (fractional)
Rb (0.219, 0.250, 0.249)
Rb (0.781, 0.750, 0.751)
Gd (0.329, 0.750, 0.855)
Gd (0.671, 0.250, 0.145)
Fe (0.075, 0.250, 0.595)
Fe (0.925, 0.750, 0.405)
S (0.106, 0.250, 0.841)
S (0.196, 0.750, 0.542)
S (0.462, 0.750, 0.154)
S (0.538, 0.250, 0.846)
S (0.804, 0.250, 0.458)
S (0.894, 0.750, 0.159)

## Properties
Magnetic moment   0.6671 μB per atom
Relative energy among the computed polymorphs   0.00 kcal/mol of atoms
Volume   26.75 Å³/atom
Final energy   -68.63 eV for the cell shown
Crystal system   monoclinic

***

Record 10
The following is a PBE calculation of an optimized crystal structure of TbNdSi2Os, from OQMD via LeMat-Bulk.

Cell lengths 5.951, 5.951, 10.229 Å; angles 118.16, 118.16, 41.86 degrees
Element x y z (fractional)
Tb (0.181, 0.181, 0.109)
Tb (0.819, 0.819, 0.891)
Nd (0.015, 0.015, 0.682)
Nd (0.985, 0.985, 0.318)
Si (0.345, 0.345, 0.436)
Si (0.497, 0.497, 0.875)
Si (0.503, 0.503, 0.125)
Si (0.655, 0.655, 0.564)
Os (0.274, 0.274, 0.626)
Os (0.726, 0.726, 0.374)

## Properties
Magnetic moment   0.0054 μB per atom
Relative energy among the computed polymorphs   0.43 kcal/mol of atoms
Volume   20.86 Å³/atom
Final energy   -70.13 eV for the cell shown
Crystal system   monoclinic

***

Record 11
The following is a PBE calculation of an optimized crystal structure of TlCdFePt, from OQMD via LeMat-Bulk.

Cell lengths 4.664, 4.664, 4.664 Å; angles 60.00, 60.00, 60.00 degrees
Element x y z (fractional)
Tl (0.000, 0.000, 0.000)
Cd (0.500, 0.500, 0.500)
Fe (0.250, 0.250, 0.250)
Pt (0.750, 0.750, 0.750)

## Properties
Magnetic moment   0.6621 μB per atom
Relative energy among the computed polymorphs   0.00 kcal/mol of atoms
Volume   17.94 Å³/atom
Final energy   -16.67 eV for the cell shown
Crystal system   cubic

***

Record 12
The following is a PBE calculation of an optimized crystal structure of KPtO3, from OQMD via LeMat-Bulk.

Cell lengths 5.575, 7.963, 5.639 Å; angles 90.00, 90.00, 90.00 degrees
Element x y z (fractional)
K (0.030, 0.250, 0.005)
K (0.470, 0.750, 0.505)
K (0.530, 0.250, 0.495)
K (0.970, 0.750, 0.995)
Pt (0.000, 0.000, 0.500)
Pt (0.000, 0.500, 0.500)
Pt (0.500, 0.000, 0.000)
Pt (0.500, 0.500, 0.000)
O (0.002, 0.250, 0.567)
O (0.209, 0.531, 0.791)
O (0.209, 0.969, 0.791)
O (0.291, 0.031, 0.291)
O (0.291, 0.469, 0.291)
O (0.498, 0.750, 0.067)
O (0.502, 0.250, 0.933)
O (0.709, 0.531, 0.709)
O (0.709, 0.969, 0.709)
O (0.791, 0.031, 0.209)
O (0.791, 0.469, 0.209)
O (0.998, 0.750, 0.433)

## Properties
Magnetic moment   0.2002 μB per atom
Volume   12.52 Å³/atom
Final energy   -99.82 eV for the cell shown
Crystal system   orthorhombic

***

Question: The lowest volume belongs to which entry?
Answer: KPtO3